[1]
Entry from Alexandria: MnCd3Br8 after structural relaxation (PBE).

## Properties
E   -70.7 eV/cell
ΔE_f (raw)   -837 meV/atom
Mass density   4.463 g/cm³

Cell lengths 13.9338, 8.0469, 8.3079 Å; angles 90.00, 124.53, 90.00 degrees
Space group C2/m (No. 12)
One atom of each set of equivalent atoms:
Mn (0.0000, 0.0000, 0.0000) [2 per cell]
Cd (0.0000, 0.5000, 0.0000) [2 per cell]
Cd (0.2500, 0.2500, 0.0000) [4 per cell]
Br (0.0042, 0.2415, 0.7744) [8 per cell]
Br (0.2372, 0.0000, 0.2255) [4 per cell]
Br (0.2446, 0.5000, 0.2306) [4 per cell]

[2]
Entry from Alexandria: Ac3Pr3Er2 after structural relaxation (PBE).

## Properties
E   -34.9 eV/cell
Energy of formation   0.1123 eV/atom
Mass density   7.904 g/cm³

Cell lengths 6.1789, 6.1940, 7.8950 Å; angles 90.00, 90.00, 90.00 degrees
Space group Pmmm (No. 47)
One atom of each set of equivalent atoms:
Ac (0.0000, 0.0000, 0.0000) [1 per cell]
Ac (0.0000, 0.0000, 0.5000) [1 per cell]
Ac (0.5000, 0.5000, 0.0000) [1 per cell]
Pr (0.5000, 0.0000, 0.2585) [2 per cell]
Pr (0.5000, 0.5000, 0.5000) [1 per cell]
Er (0.0000, 0.5000, 0.2580) [2 per cell]

[3]
Entry from Alexandria: LiCd4Tc after structural relaxation (PBE).

## Properties
E   -54.1 eV/cell
Energy of formation   0.4044 eV/atom
Mass density   7.370 g/cm³

Cell lengths 7.9362, 7.9362, 7.9362 Å; angles 90.00, 90.00, 90.00 degrees
Space group F-43m (No. 216)
One atom of each set of equivalent atoms:
Li (0.0000, 0.0000, 0.0000) [4 per cell]
Cd (0.1246, 0.1246, 0.3754) [16 per cell]
Tc (0.2500, 0.2500, 0.7500) [4 per cell]

[4]
Entry from Alexandria: SrHfTeN2 after structural relaxation (PBE).

## Properties
E   -33.4 eV/cell
ΔE_f (raw)   -392 meV/atom
Polymorph energy (0 for the lowest one)   0.000 eV per atom
Mass density   6.379 g/cm³

Cell lengths 4.3438, 4.3438, 5.8181 Å; angles 90.00, 90.00, 90.00 degrees
Space group P4/mmm (No. 123)
One atom of each set of equivalent atoms:
Sr (0.0000, 0.0000, 0.0000) [1 per cell]
Hf (0.5000, 0.5000, 0.5000) [1 per cell]
Te (0.5000, 0.5000, 0.0000) [1 per cell]
N (0.0000, 0.5000, 0.5000) [2 per cell]